No. 1
Al2AsCl | PBE-GGA | optimized geometry

DFT total energy: -14.38 eV for the cell shown
distance to the lowest polymorph of the same formula: 0.222 eV per atom
E_form (uncorrected): -0.1009 eV/atom

abc: 2.873 3.819 7.469
angles: 90.00 90.00 90.00
Sites, in units of the cell vectors:
Al 0.000 0.000 0.242
Al 0.000 0.000 0.758
As 0.000 0.500 0.000
Cl 0.000 0.500 0.500

---

No. 2
TlInTe2 | PBE-GGA | optimized geometry

DFT total energy: -10.97 eV for the cell shown
E_form (uncorrected): 0.1049 eV/atom

abc: 12.776 12.776 12.776
angles: 15.08 15.08 15.08
Sites, in units of the cell vectors:
Tl 0.000 0.000 0.000
In 0.256 0.256 0.256
Te 0.518 0.518 0.518
Te 0.748 0.748 0.748

---

No. 3
PaHF5 | PBE-GGA | optimized geometry

DFT total energy: -88.01 eV for the cell shown

abc: 5.622 5.622 8.239
angles: 105.43 105.43 87.95
Sites, in units of the cell vectors:
Pa 0.000 0.500 0.000
Pa 0.500 0.000 0.500
H 0.202 0.798 0.750
H 0.798 0.202 0.250
F 0.115 0.720 0.836
F 0.217 0.783 0.250
F 0.280 0.885 0.664
F 0.290 0.314 0.505
F 0.314 0.290 0.005
F 0.686 0.710 0.995
F 0.710 0.686 0.495
F 0.720 0.115 0.336
F 0.783 0.217 0.750
F 0.885 0.280 0.164

---

> What is the DFT total energy in the third record?

-88.01 eV for the cell shown

---

Repeat the second record exactly.
TlInTe2 | PBE-GGA | optimized geometry

DFT total energy: -10.97 eV for the cell shown
E_form (uncorrected): 0.1049 eV/atom

abc: 12.776 12.776 12.776
angles: 15.08 15.08 15.08
Sites, in units of the cell vectors:
Tl 0.000 0.000 0.000
In 0.256 0.256 0.256
Te 0.518 0.518 0.518
Te 0.748 0.748 0.748

---

> Which value of DFT total energy does entry 1 give?

-14.38 eV for the cell shown

---

> Which value of DFT total energy does entry 3 give?

-88.01 eV for the cell shown